KNpRh4S8 | GGA-PBE | optimized geometry

a = 7.4333 Å, b = 7.4333 Å, c = 18.1201 Å
α = 90.00°, β = 90.00°, γ = 120.00°
Closest atoms and distances in Å follow each position.
Space group R3m (No. 160, hexagonal axes)
Asymmetric unit:
1 K 0.0000 0.0000 0.0000 x3  4 S 2.69-2.70
2 Np 0.0000 0.0000 0.3817 x3  6 S 2.65
3 Rh 0.0000 0.0000 0.7503 x3  4 S 2.36-2.57
4 Rh 0.0016 0.5008 0.8716 x9  6 S 2.36-2.50
5 S 0.0000 0.0000 0.1484 x3  3 Rh 2.37
6 S 0.0000 0.0000 0.6084 x3  4 Rh 2.50-2.57
7 S 0.0029 0.5015 0.1354 x9  3 Rh 2.36-2.48
8 S 0.1931 0.3861 0.9412 x9  2 Rh 2.36

Summary:
For the total magnetic moment, the calculation gives 11.77 μB per cell. As for the raw formation energy: -543 meV/atom.


K3NpRh3Se8 | GGA-PBE | optimized geometry

a = 7.6182 Å, b = 7.6182 Å, c = 22.8389 Å
α = 90.00°, β = 90.00°, γ = 120.00°
Closest atoms and distances in Å follow each position.
Space group R-3m (No. 166, hexagonal axes)
Asymmetric unit:
1 K 0.0000 0.5000 0.0000 x9  6 Se 3.29-3.37
2 Np 0.0000 0.0000 0.5000 x3  6 Se 2.81
3 Rh 0.0000 0.5000 0.5000 x9  6 Se 2.53-2.56
4 Se 0.0000 0.0000 0.2217 x6  3 Rh 2.53
5 Se 0.0309 0.5155 0.7693 x18  2 Rh 2.56, 1 Np 2.81

Summary:
For the total magnetic moment, the calculation gives 9.00 μB per cell. As for the raw formation energy: -799 meV/atom.


K4Np3RhSe8 | GGA-PBE | optimized geometry

a = 8.2567 Å, b = 8.2567 Å, c = 23.1139 Å
α = 90.00°, β = 90.00°, γ = 120.00°
Closest atoms and distances in Å follow each position.
Space group R-3m (No. 166, hexagonal axes)
Asymmetric unit:
1 K 0.0000 0.0000 0.0000 x3  6 Se 3.44
2 K 0.0000 0.5000 0.0000 x9  6 Se 3.26-3.30
3 Np 0.0000 0.5000 0.5000 x9  6 Se 2.88
4 Rh 0.0000 0.0000 0.5000 x3  6 Se 2.71
5 Se 0.0000 0.0000 0.2369 x6  3 Np 2.88
6 Se 0.0186 0.5093 0.2321 x18  1 Rh 2.71, 2 Np 2.88

Summary:
For the total magnetic moment, the calculation gives 35.14 μB per cell. As for the raw formation energy: -1071 meV/atom.


K3Np2RhSe6 | GGA-PBE | optimized geometry

a = 7.0562 Å, b = 12.2332 Å, c = 8.0712 Å
α = 90.00°, β = 107.05°, γ = 90.00°
Closest atoms and distances in Å follow each position.
Space group C2/m (No. 12)
Asymmetric unit:
1 K 0.0000 0.0000 0.0000 x2  6 Se 3.26-3.42
2 K 0.0000 0.3304 0.0000 x4  6 Se 3.27-3.39
3 Np 0.0000 0.1663 0.5000 x4  6 Se 2.87
4 Rh 0.0000 0.5000 0.5000 x2  6 Se 2.68-2.69
5 Se 0.2225 0.3435 0.6977 x8  1 Rh 2.68, 2 Np 2.87
6 Se 0.2463 0.5000 0.3016 x4  1 Rh 2.69, 2 Np 2.87

Summary:
For the total magnetic moment, the calculation gives 16.03 μB per cell. As for the raw formation energy: -1025 meV/atom.


Number 1: calculated total energy -0.221 hartree per atom. Number 2: calculated total energy -0.191 hartree per atom. Number 3: calculated total energy -0.220 hartree per atom. Number 4: calculated total energy -0.214 hartree per atom.